# 1
This record from Alexandria via LeMat-Bulk describes TaHg2Mo at its PBEsol-relaxed geometry. The functional is SCAN.

a b c (Å): 5.1805 5.1805 4.7564
angles (deg): 101.95 101.95 35.30
Fractional positions:
1 Ta 0.0000 0.0000 0.0000
2 Hg 0.2478 0.2478 0.7472
3 Hg 0.7522 0.7522 0.2528
4 Mo 0.5000 0.5000 0.5000

Results
VASP energy: -4.33707 Ry/atom
Calculated volume: 18.0 A^3/atom
Total magnetization: 0.00 μB/cell
Distance to the lowest polymorph of the same formula: 122 meV per atom
ΔE_f: 0.44 eV/atom

***

# 2
This record from Alexandria via LeMat-Bulk describes TaHg2Mo at its PBEsol-relaxed geometry. The functional is SCAN.

a b c (Å): 3.3963 3.3963 6.4159
angles (deg): 90.00 90.00 90.00
Fractional positions:
1 Ta 0.0000 0.0000 0.0000
2 Hg 0.0000 0.0000 0.5438
3 Hg 0.5000 0.5000 0.2811
4 Mo 0.5000 0.5000 0.8216

Results
VASP energy: -4.34606 Ry/atom
Calculated volume: 18.5 A^3/atom
Total magnetization: 0.00 μB/cell
Distance to the lowest polymorph of the same formula: 0 meV per atom
ΔE_f: 0.32 eV/atom

***

# 3
This record from Alexandria via LeMat-Bulk describes Ta3HgMo at its PBEsol-relaxed geometry. The functional is SCAN.

a b c (Å): 4.8795 4.8795 4.8795
angles (deg): 90.00 90.00 90.00
Fractional positions:
1 Ta 0.0000 0.0000 0.5000
2 Ta 0.0000 0.5000 0.0000
3 Ta 0.5000 0.0000 0.0000
4 Hg 0.0000 0.0000 0.0000
5 Mo 0.5000 0.5000 0.5000

Results
VASP energy: -4.26724 Ry/atom
Calculated volume: 23.2 A^3/atom
Total magnetization: 0.00 μB/cell
ΔE_f: 2.50 eV/atom

***

# 4
This record from Alexandria via LeMat-Bulk describes TaHgMo2 at its PBEsol-relaxed geometry. The functional is SCAN.

a b c (Å): 4.5676 4.5676 4.5676
angles (deg): 60.00 60.00 60.00
Fractional positions:
1 Ta 0.0000 0.0000 0.0000
2 Hg 0.7500 0.7500 0.7500
3 Mo 0.2500 0.2500 0.2500
4 Mo 0.5000 0.5000 0.5000

Results
VASP energy: -3.72592 Ry/atom
Calculated volume: 16.8 A^3/atom
Total magnetization: 0.00 μB/cell
ΔE_f: 0.44 eV/atom